(1)
# Ce14PuGa | Alexandria via LeMat-Bulk | PBE | optimized geometry
data_Ce14PuGa
_space_group_name_H-M_alt 'P 1'
_space_group_IT_number 1
_cell_length_a 6.584
_cell_length_b 6.584
_cell_length_c 9.354
_cell_angle_alpha 90.00
_cell_angle_beta 90.00
_cell_angle_gamma 90.03
loop_
_space_group_symop_operation_xyz
'x,y,z'
loop_
_atom_site_label
_atom_site_fract_x
_atom_site_fract_y
_atom_site_fract_z
Ce1 0.375 0.625 0.500
Ce2 0.875 0.125 0.500
Ce3 0.875 0.625 0.000
Ce4 0.875 0.625 0.500
Ce5 0.375 0.125 0.000
Ce6 0.375 0.125 0.500
Ce7 0.616 0.866 0.758
Ce8 0.616 0.866 0.242
Ce9 0.134 0.384 0.758
Ce10 0.134 0.384 0.242
Ce11 0.134 0.866 0.758
Ce12 0.134 0.866 0.242
Ce13 0.616 0.384 0.758
Ce14 0.616 0.384 0.242
Pu1 0.875 0.125 0.000
Ga1 0.375 0.625 0.000
# Space-group type ... No. 123
# Energy ... -101.30 eV for the cell shown

(2)
# BaSrSi2 | Alexandria via LeMat-Bulk | PBE | optimized geometry
data_BaSrSi2
_space_group_name_H-M_alt 'P 1'
_space_group_IT_number 1
_cell_length_a 5.767
_cell_length_b 5.767
_cell_length_c 3.603
_cell_angle_alpha 90.00
_cell_angle_beta 90.00
_cell_angle_gamma 102.90
loop_
_space_group_symop_operation_xyz
'x,y,z'
loop_
_atom_site_label
_atom_site_fract_x
_atom_site_fract_y
_atom_site_fract_z
Ba1 0.000 0.500 0.500
Si1 0.000 0.000 0.000
Si2 0.500 0.500 0.000
Sr1 0.500 0.000 0.500
# Space-group type ... No. 65
# Raw formation energy ... -0.0500 eV/atom

(3)
# La2TlPb9 | Alexandria via LeMat-Bulk | PBE | optimized geometry
data_La2TlPb9
_space_group_name_H-M_alt 'P 1'
_space_group_IT_number 1
_cell_length_a 4.949
_cell_length_b 4.949
_cell_length_c 15.135
_cell_angle_alpha 90.00
_cell_angle_beta 90.00
_cell_angle_gamma 90.00
loop_
_space_group_symop_operation_xyz
'x,y,z'
loop_
_atom_site_label
_atom_site_fract_x
_atom_site_fract_y
_atom_site_fract_z
La1 0.000 0.000 0.342
La2 0.000 0.000 0.658
Tl1 0.000 0.000 0.000
Pb1 0.500 0.500 0.000
Pb2 0.500 0.500 0.330
Pb3 0.500 0.500 0.670
Pb4 0.500 0.000 0.166
Pb5 0.500 0.000 0.500
Pb6 0.500 0.000 0.834
Pb7 0.000 0.500 0.166
Pb8 0.000 0.500 0.500
Pb9 0.000 0.500 0.834
# Space-group type ... No. 123
# Energy ... -48.95 eV for the cell shown

(4)
# Ce2ZrN | Alexandria via LeMat-Bulk | PBE | optimized geometry
data_Ce2ZrN
_space_group_name_H-M_alt 'P 1'
_space_group_IT_number 1
_cell_length_a 3.331
_cell_length_b 3.331
_cell_length_c 9.179
_cell_angle_alpha 79.55
_cell_angle_beta 79.55
_cell_angle_gamma 60.00
loop_
_space_group_symop_operation_xyz
'x,y,z'
loop_
_atom_site_label
_atom_site_fract_x
_atom_site_fract_y
_atom_site_fract_z
Zr1 0.000 0.000 0.000
Ce1 0.112 0.112 0.664
Ce2 0.888 0.888 0.336
N1 0.500 0.500 0.500
# Space-group type ... No. 166
# Raw formation energy ... -0.4534 eV/atom

(5)
# TaGaTe2I | Alexandria via LeMat-Bulk | PBE | optimized geometry
data_TaGaTe2I
_space_group_name_H-M_alt 'P 1'
_space_group_IT_number 1
_cell_length_a 5.453
_cell_length_b 5.453
_cell_length_c 5.670
_cell_angle_alpha 90.00
_cell_angle_beta 90.00
_cell_angle_gamma 90.00
loop_
_space_group_symop_operation_xyz
'x,y,z'
loop_
_atom_site_label
_atom_site_fract_x
_atom_site_fract_y
_atom_site_fract_z
I1 0.000 0.000 0.500
Te1 0.000 0.500 0.000
Te2 0.500 0.000 0.000
Ga1 0.500 0.500 0.500
Ta1 0.000 0.000 0.000
# Space-group type ... No. 123
# Raw formation energy ... 0.1577 eV/atom

(6)
# TaCuSi | Alexandria via LeMat-Bulk | PBE | optimized geometry
data_TaCuSi
_space_group_name_H-M_alt 'P 1'
_space_group_IT_number 1
_cell_length_a 3.738
_cell_length_b 9.061
_cell_length_c 5.028
_cell_angle_alpha 90.00
_cell_angle_beta 90.00
_cell_angle_gamma 90.00
loop_
_space_group_symop_operation_xyz
'x,y,z'
loop_
_atom_site_label
_atom_site_fract_x
_atom_site_fract_y
_atom_site_fract_z
Si1 0.000 0.908 0.250
Si2 0.000 0.092 0.750
Si3 0.500 0.408 0.250
Si4 0.500 0.592 0.750
Cu1 0.000 0.500 0.000
Cu2 0.000 0.500 0.500
Cu3 0.500 0.000 0.000
Cu4 0.500 0.000 0.500
Ta1 0.000 0.211 0.250
Ta2 0.000 0.789 0.750
Ta3 0.500 0.711 0.250
Ta4 0.500 0.289 0.750
# Space-group type ... No. 63
# Raw formation energy ... -0.3145 eV/atom

(7)
# La2NdTe | Alexandria via LeMat-Bulk | PBE | optimized geometry
data_La2NdTe
_space_group_name_H-M_alt 'P 1'
_space_group_IT_number 1
_cell_length_a 4.020
_cell_length_b 4.020
_cell_length_c 8.427
_cell_angle_alpha 90.00
_cell_angle_beta 90.00
_cell_angle_gamma 90.00
loop_
_space_group_symop_operation_xyz
'x,y,z'
loop_
_atom_site_label
_atom_site_fract_x
_atom_site_fract_y
_atom_site_fract_z
Te1 0.500 0.500 0.500
Nd1 0.500 0.500 0.000
La1 0.000 0.000 0.717
La2 0.000 0.000 0.283
# Space-group type ... No. 123
# Raw formation energy ... -0.6288 eV/atom

(8)
# InPd2Rh2 | Alexandria via LeMat-Bulk | PBE | optimized geometry
data_InPd2Rh2
_space_group_name_H-M_alt 'P 1'
_space_group_IT_number 1
_cell_length_a 6.868
_cell_length_b 6.868
_cell_length_c 3.603
_cell_angle_alpha 90.00
_cell_angle_beta 90.00
_cell_angle_gamma 90.00
loop_
_space_group_symop_operation_xyz
'x,y,z'
loop_
_atom_site_label
_atom_site_fract_x
_atom_site_fract_y
_atom_site_fract_z
Rh1 0.370 0.870 0.000
Rh2 0.870 0.630 0.000
Rh3 0.630 0.130 0.000
Rh4 0.130 0.370 0.000
Pd1 0.164 0.664 0.500
Pd2 0.664 0.836 0.500
Pd3 0.836 0.336 0.500
Pd4 0.336 0.164 0.500
In1 0.000 0.000 0.000
In2 0.500 0.500 0.000
# Space-group type ... No. 127
# Energy ... -54.83 eV for the cell shown

(9)
# AcMn5Ge7 | Alexandria via LeMat-Bulk | PBE | optimized geometry
data_AcMn5Ge7
_space_group_name_H-M_alt 'P 1'
_space_group_IT_number 1
_cell_length_a 5.306
_cell_length_b 6.821
_cell_length_c 6.821
_cell_angle_alpha 84.61
_cell_angle_beta 67.11
_cell_angle_gamma 67.11
loop_
_space_group_symop_operation_xyz
'x,y,z'
loop_
_atom_site_label
_atom_site_fract_x
_atom_site_fract_y
_atom_site_fract_z
Ac1 0.001 0.999 0.999
Mn1 0.495 0.010 0.490
Mn2 0.005 0.010 0.490
Mn3 0.495 0.490 0.010
Mn4 0.005 0.490 0.010
Mn5 0.750 0.750 0.750
Ge1 0.641 0.359 0.359
Ge2 0.346 0.654 0.654
Ge3 0.985 0.353 0.676
Ge4 0.985 0.676 0.353
Ge5 0.264 0.236 0.236
Ge6 0.514 0.793 0.179
Ge7 0.514 0.179 0.793
# Space-group type ... No. 44
# Energy ... -83.48 eV for the cell shown

(10)
# CrSeBr2 | Alexandria via LeMat-Bulk | PBE | optimized geometry
data_CrSeBr2
_space_group_name_H-M_alt 'P 1'
_space_group_IT_number 1
_cell_length_a 9.681
_cell_length_b 9.681
_cell_length_c 9.681
_cell_angle_alpha 21.03
_cell_angle_beta 21.03
_cell_angle_gamma 21.03
loop_
_space_group_symop_operation_xyz
'x,y,z'
loop_
_atom_site_label
_atom_site_fract_x
_atom_site_fract_y
_atom_site_fract_z
Br1 0.972 0.972 0.972
Br2 0.528 0.528 0.528
Cr1 0.250 0.250 0.250
Se1 0.750 0.750 0.750
# Space-group type ... No. 166
# Raw formation energy ... -0.0303 eV/atom

(11)
# ScFe2 | Alexandria via LeMat-Bulk | PBE | optimized geometry
data_ScFe2
_space_group_name_H-M_alt 'P 1'
_space_group_IT_number 1
_cell_length_a 3.687
_cell_length_b 3.687
_cell_length_c 3.900
_cell_angle_alpha 90.00
_cell_angle_beta 90.00
_cell_angle_gamma 120.00
loop_
_space_group_symop_operation_xyz
'x,y,z'
loop_
_atom_site_label
_atom_site_fract_x
_atom_site_fract_y
_atom_site_fract_z
Fe1 0.333 0.667 0.500
Fe2 0.667 0.333 0.500
Sc1 0.000 0.000 0.000
# Space-group type ... No. 191
# Energy ... -23.07 eV for the cell shown

(12)
# KUCu2Se6 | Alexandria via LeMat-Bulk | PBE | optimized geometry
data_KUCu2Se6
_space_group_name_H-M_alt 'P 1'
_space_group_IT_number 1
_cell_length_a 9.136
_cell_length_b 9.618
_cell_length_c 9.618
_cell_angle_alpha 85.10
_cell_angle_beta 64.90
_cell_angle_gamma 64.90
loop_
_space_group_symop_operation_xyz
'x,y,z'
loop_
_atom_site_label
_atom_site_fract_x
_atom_site_fract_y
_atom_site_fract_z
K1 0.250 0.877 0.123
K2 0.750 0.123 0.877
U1 0.250 0.225 0.775
U2 0.750 0.775 0.225
Cu1 0.482 0.887 0.592
Cu2 0.018 0.408 0.113
Cu3 0.518 0.113 0.408
Cu4 0.982 0.592 0.887
Se1 0.187 0.975 0.797
Se2 0.313 0.203 0.025
Se3 0.813 0.025 0.203
Se4 0.687 0.797 0.975
Se5 0.391 0.943 0.379
Se6 0.109 0.621 0.057
Se7 0.609 0.057 0.621
Se8 0.891 0.379 0.943
Se9 0.262 0.503 0.658
Se10 0.238 0.342 0.497
Se11 0.738 0.497 0.342
Se12 0.762 0.658 0.503
# Space-group type ... No. 15
# Raw formation energy ... -0.6127 eV/atom

| no. | size of the total moment (μB/f.u.) |
| --- | --- |
| 1 | 3.34 |
| 2 | 0.00 |
| 3 | 0.00 |
| 4 | 0.72 |
| 5 | 0.00 |
| 6 | 0.00 |
| 7 | 0.00 |
| 8 | 0.63 |
| 9 | 10.78 |
| 10 | 3.40 |
| 11 | 0.00 |
| 12 | 0.00 |